[1]
DFT (GGA-PBE) results for an optimized crystal structure of MgHgRu2.

a = 3.3547 Å, b = 3.3547 Å, c = 5.8955 Å
α = 90.00°, β = 90.00°, γ = 90.00°
With the nearest neighbours (Å) after each atom.
Element x y z (fractional)
Hg  0.5000  0.5000  0.2500  8 Ru 2.88, 2 Mg 2.95
Mg  0.5000  0.5000  0.7500  8 Ru 2.71, 2 Hg 2.95
Ru  0.0000  0.0000  0.9722  1 Ru 2.62, 4 Mg 2.71, 4 Hg 2.88
Ru  0.0000  0.0000  0.5278  1 Ru 2.62, 4 Mg 2.71, 4 Hg 2.88

* ΔH_f (0 K): 0.43 eV/atom
* calculated density: 10.69 g/cm³
* offset from the most stable computed form: 0.350 eV/atom
* E_tot: -0.344 Ry/atom
* symmetry: P4/mmm



[2]
DFT (GGA-PBE) results for an optimized crystal structure of Mn4GaPt5.

a = 3.2269 Å, b = 3.2269 Å, c = 14.6034 Å
α = 90.00°, β = 90.00°, γ = 90.00°
With the nearest neighbours (Å) after each atom.
Element x y z (fractional)
Mn  0.0000  0.0000  0.1981  8 Pt 2.71-2.72, 1 Ga 2.89, 1 Mn 2.94
Mn  0.0000  0.0000  0.3993  8 Pt 2.71-2.72, 2 Mn 2.94
Mn  0.0000  0.0000  0.6007  8 Pt 2.71-2.72, 2 Mn 2.94
Mn  0.0000  0.0000  0.8019  8 Pt 2.71-2.72, 1 Ga 2.89, 1 Mn 2.94
Ga  0.0000  0.0000  0.0000  8 Pt 2.69, 2 Mn 2.89
Pt  0.5000  0.5000  0.0973  4 Ga 2.69, 4 Mn 2.72, 2 Pt 2.84-2.93
Pt  0.5000  0.5000  0.2982  8 Mn 2.71-2.72, 2 Pt 2.93-2.95
Pt  0.5000  0.5000  0.5000  8 Mn 2.71, 2 Pt 2.95
Pt  0.5000  0.5000  0.7018  8 Mn 2.71-2.72, 2 Pt 2.93-2.95
Pt  0.5000  0.5000  0.9027  4 Ga 2.69, 4 Mn 2.72, 2 Pt 2.84-2.93

* ΔH_f (0 K): -0.40 eV/atom
* calculated density: 13.81 g/cm³
* E_tot: -0.543 Ry/atom
* symmetry: P4/mmm



[3]
DFT (GGA-PBE) results for an optimized crystal structure of CdCu3Ge.

a = 4.7653 Å, b = 4.7653 Å, c = 4.7653 Å
α = 90.00°, β = 90.00°, γ = 90.00°
With the nearest neighbours (Å) after each atom.
Element x y z (fractional)
Ge  0.5000  0.5000  0.5000  12 Cu 3.37
Cu  0.0000  0.5000  0.0000  2 Cd 2.38
Cu  0.0000  0.0000  0.5000  2 Cd 2.38
Cu  0.5000  0.0000  0.0000  2 Cd 2.38
Cd  0.0000  0.0000  0.0000  6 Cu 2.38

* ΔH_f (0 K): 1.01 eV/atom
* calculated density: 5.77 g/cm³
* offset from the most stable computed form: 0.797 eV/atom
* E_tot: -0.188 Ry/atom
* symmetry: Pm-3m



[4]
DFT (GGA-PBE) results for an optimized crystal structure of AlInCSe2.

a = 4.7959 Å, b = 5.8231 Å, c = 4.7959 Å
α = 90.00°, β = 90.00°, γ = 90.00°
With the nearest neighbours (Å) after each atom.
Element x y z (fractional)
C  0.5000  0.5000  0.5000  4 In 3.39, 8 Se 3.77
Al  0.0000  0.0000  0.0000  4 Se 2.40
Se  0.0000  0.0000  0.5000  2 Al 2.40
Se  0.5000  0.0000  0.0000  2 Al 2.40
In  0.0000  0.5000  0.0000  2 Al 2.91

* calculated density: 3.86 g/cm³
* E_tot: -0.232 Ry/atom
* symmetry: P4/mmm



[5]
DFT (GGA-PBE) results for an optimized crystal structure of CeGa9Pd3.

a = 5.5319 Å, b = 6.8690 Å, c = 6.9640 Å
α = 81.66°, β = 66.60°, γ = 68.58°
With the nearest neighbours (Å) after each atom.
Element x y z (fractional)
Ce  0.0000  0.0000  0.0000  14 Ga 3.18-3.43, 6 Pd 3.48-3.54
Ga  0.7057  0.7899  0.7850  3 Pd 2.63-2.66, 4 Ga 2.69-2.87
Ga  0.2943  0.2101  0.2150  3 Pd 2.63-2.66, 4 Ga 2.69-2.87
Ga  0.5093  0.2101  0.7850  3 Pd 2.63-2.66, 4 Ga 2.69-2.87
Ga  0.4907  0.7899  0.2150  3 Pd 2.63-2.66, 4 Ga 2.69-2.87
Ga  0.6456  0.3451  0.3575  5 Ga 2.69-2.99, 3 Pd 2.71-2.86
Ga  0.3544  0.6549  0.6425  5 Ga 2.69-2.99, 3 Pd 2.71-2.86
Ga  0.9969  0.6549  0.3575  5 Ga 2.69-2.99, 3 Pd 2.71-2.86
Ga  0.0031  0.3451  0.6425  5 Ga 2.69-2.99, 3 Pd 2.71-2.86
Ga  0.0000  0.5000  0.0000  8 Ga 2.75-2.84, 2 Pd 2.77
Pd  0.5000  0.5000  0.0000  10 Ga 2.63-2.86
Pd  0.0000  0.0000  0.5000  8 Ga 2.64-2.81, 2 Pd 2.77
Pd  0.5000  0.0000  0.5000  8 Ga 2.64-2.81, 2 Pd 2.77

* ΔH_f (0 K): -0.44 eV/atom
* calculated density: 7.98 g/cm³
* E_tot: -0.308 Ry/atom
* symmetry: C2/m



[6]
DFT (GGA-PBE) results for an optimized crystal structure of CaSbTe2P.

a = 5.7562 Å, b = 5.7562 Å, c = 5.9518 Å
α = 90.00°, β = 90.00°, γ = 90.00°
With the nearest neighbours (Å) after each atom.
Element x y z (fractional)
Sb  0.0000  0.0000  0.5000  2 Ca 2.98
Ca  0.0000  0.0000  0.0000  4 Te 2.88, 2 Sb 2.98
Te  0.0000  0.5000  0.0000  2 Ca 2.88
Te  0.5000  0.0000  0.0000  2 Ca 2.88
P  0.5000  0.5000  0.5000  4 Sb 4.07, 8 Te 4.14

* calculated density: 3.77 g/cm³
* offset from the most stable computed form: 0.929 eV/atom
* E_tot: -0.202 Ry/atom
* symmetry: P4/mmm



[7]
DFT (GGA-PBE) results for an optimized crystal structure of PmTe2Pb.

a = 4.3227 Å, b = 4.3227 Å, c = 10.3568 Å
α = 77.95°, β = 77.95°, γ = 60.00°
With the nearest neighbours (Å) after each atom.
Element x y z (fractional)
Pb  0.0000  0.0000  0.0000  2 Te 3.15
Te  0.1044  0.1044  0.6866  3 Pm 3.12, 1 Pb 3.15
Te  0.8956  0.8956  0.3134  3 Pm 3.12, 1 Pb 3.15
Pm  0.5000  0.5000  0.5000  6 Te 3.12

* calculated density: 6.20 g/cm³
* E_tot: -0.326 Ry/atom
* symmetry: R-3m